No. 1
The following is a PBE calculation of crystalline Ac7Tl5 at its relaxed geometry, from Alexandria.

Structure (POSCAR):
```
Ac7Tl5
1.0
-2.9084 -1.7716 -4.6728
4.8794 -2.6877 1.5496
-8.0102 -7.8775 11.5595
Ac Tl
7 5
direct
0.3826 0.6909 0.0735
0.6174 0.3091 0.9265
0.5637 0.7806 0.3444
0.8576 0.9291 0.7866
0.0000 0.5000 0.5000
0.4363 0.2194 0.6556
0.1424 0.0709 0.2134
0.8077 0.4039 0.2116
0.2875 0.1429 0.4305
0.0000 0.0000 0.0000
0.7125 0.8571 0.5695
0.1923 0.5961 0.7884
```

Calculated values
- Offset from the most stable computed form: 0.00 kJ/mol of atoms
- Size of the total moment: 0.0 μB/cell
- Energy relative to the elements: -275 kJ/mol of formula units



No. 2
The following is a PBE calculation of crystalline Cu2SeI8 at its relaxed geometry, from Alexandria.

Structure (POSCAR):
```
Cu2SeI8
1.0
-5.9645 -4.1953 0.6447
3.7830 -6.7111 3.4186
-0.2943 -0.1455 8.4211
Se I Cu
1 8 2
direct
0.0000 0.0000 0.0000
0.6941 0.1702 0.1703
0.3059 0.8298 0.8297
0.6016 0.6620 0.6620
0.3984 0.3380 0.3380
0.1891 0.8722 0.3075
0.1891 0.3075 0.8722
0.8109 0.1278 0.6925
0.8109 0.6925 0.1278
0.6566 0.8365 0.8364
0.3434 0.1635 0.1636
```

Calculated values
- Formation energy without anion corrections: 0.002 eV per atom
- Size of the total moment: 0.0 μB/cell



No. 3
The following is a PBE calculation of crystalline CoHgPt2 at its relaxed geometry, from Alexandria.

Structure (POSCAR):
```
CoHgPt2
1.0
-2.9664 3.3580 1.8800
-2.9363 1.6139 -3.5190
1.0690 -4.5087 1.4624
Pt Co Hg
2 1 1
direct
0.2500 0.7500 0.5000
0.0000 0.0000 0.0000
0.5000 0.5000 0.0000
0.7500 0.2500 0.5000
```

Calculated values
- Size of the total moment: 2.2 μB/cell
- Energy relative to the elements: 59 kJ/mol of formula units



No. 4
The following is a PBE calculation of crystalline YTl3Sb3Se8 at its relaxed geometry, from Alexandria.

Structure (POSCAR):
```
YTl3Sb3Se8
1.0
8.2910 0.0000 0.0000
-4.1455 7.1816 -0.0270
0.0000 -4.7593 7.6009
Se Tl Sb Y
8 3 3 1
direct
0.2386 0.9738 0.7122
0.2387 0.4774 0.7123
0.7613 0.5226 0.2877
0.7390 0.4780 0.7172
0.7352 0.9738 0.7122
0.2610 0.5220 0.2828
0.2648 0.0262 0.2878
0.7614 0.0262 0.2878
0.0000 0.0000 0.0000
0.5000 0.5000 0.0000
0.0000 0.5000 0.0000
0.5000 0.0000 0.5000
0.0000 0.5000 0.5000
0.5000 0.5000 0.5000
0.0000 0.0000 0.5000
```

Calculated values
- Formation energy without anion corrections: -0.581 eV per atom
- Size of the total moment: 0.0 μB/cell



No. 5
The following is a PBE calculation of crystalline Cr2C at its relaxed geometry, from Alexandria.

Structure (POSCAR):
```
Cr2C
1.0
1.4221 -5.2170 0.0000
1.4221 5.2170 0.0000
0.0000 0.0000 4.0372
Cr C
4 2
direct
0.4423 0.5577 0.7500
0.8123 0.1877 0.2500
0.1877 0.8123 0.7500
0.5577 0.4423 0.2500
0.1802 0.8198 0.2500
0.8198 0.1802 0.7500
```

Calculated values
- Size of the total moment: 0.0 μB/cell
- Energy relative to the elements: 3 kJ/mol of formula units



No. 6
The following is a PBE calculation of crystalline BeTc2N at its relaxed geometry, from Alexandria.

Structure (POSCAR):
```
BeTc2N
1.0
-2.0305 -3.3206 -0.2964
-3.8412 0.1157 -0.6846
-1.3999 -1.1291 -3.4645
Tc N Be
2 1 1
direct
0.2500 0.2500 0.2500
0.7500 0.7500 0.7500
0.5000 0.5000 0.5000
0.0000 0.0000 0.0000
```

Calculated values
- Offset from the most stable computed form: 7.36 kJ/mol of atoms
- Formation energy without anion corrections: 0.728 eV per atom
- Size of the total moment: 0.0 μB/cell



No. 7
The following is a PBE calculation of crystalline Ca2TaHF at its relaxed geometry, from Alexandria.

Structure (POSCAR):
```
Ca2TaHF
1.0
-0.4436 -3.4797 3.9946
1.7860 -2.9428 -2.3651
4.7850 1.4570 1.8006
Ca Ta H F
2 1 1 1
direct
0.0000 0.0000 0.5000
0.5000 0.0000 0.0000
0.0000 0.5000 0.0000
0.5000 0.5000 0.5000
0.0000 0.0000 0.0000
```

Calculated values
- Energy: -4.05 eV per atom
- Size of the total moment: 3.1 μB/cell



No. 8
The following is a PBE calculation of crystalline TlPb2AuN at its relaxed geometry, from Alexandria.

Structure (POSCAR):
```
TlPb2AuN
1.0
-2.2791 -4.0127 -3.0919
-0.2322 -2.3510 3.2223
-5.0554 2.0178 1.1078
Pb Au N Tl
2 1 1 1
direct
0.5000 0.0000 0.0000
0.0000 0.0000 0.5000
0.0000 0.5000 0.0000
0.0000 0.0000 0.0000
0.5000 0.5000 0.5000
```

Calculated values
- Formation energy without anion corrections: 0.458 eV per atom
- Size of the total moment: 0.0 μB/cell



No. 9
The following is a PBE calculation of crystalline CaPmO2 at its relaxed geometry, from Alexandria.

Structure (POSCAR):
```
CaPmO2
1.0
3.3850 0.0000 0.0000
1.6925 2.9315 0.0000
1.6925 0.9772 6.0830
O Pm Ca
2 1 1
direct
0.2490 0.2490 0.2531
0.0864 0.0864 0.7408
0.6687 0.6687 0.9940
0.4959 0.4959 0.5122
```

Calculated values
- Offset from the most stable computed form: 15.09 kJ/mol of atoms
- Formation energy without anion corrections: -2.665 eV per atom
- Size of the total moment: 0.0 μB/cell



No. 10
The following is a PBE calculation of crystalline TaTlRhSe3 at its relaxed geometry, from Alexandria.

Structure (POSCAR):
```
TaTlRhSe3
1.0
-0.2538 -3.5246 0.6547
1.7783 -1.5814 -7.8234
8.4073 0.5158 6.0360
Se Rh Tl Ta
6 2 2 2
direct
0.2500 0.0872 0.8777
0.2500 0.5510 0.8795
0.7500 0.2484 0.5748
0.2500 0.7516 0.4252
0.7500 0.4490 0.1205
0.7500 0.9128 0.1223
0.2500 0.0778 0.6327
0.7500 0.9222 0.3673
0.7500 0.7336 0.6952
0.2500 0.2664 0.3048
0.7500 0.2900 0.8344
0.2500 0.7100 0.1656
```

Calculated values
- Formation energy without anion corrections: -0.578 eV per atom
- Size of the total moment: 0.0 μB/cell



No. 11
The following is a PBE calculation of crystalline LaY8Ho5 at its relaxed geometry, from Alexandria.

Structure (POSCAR):
```
LaY8Ho5
1.0
-7.7625 3.0489 -1.2869
1.6207 -5.3652 -6.3084
0.4671 -3.9276 7.4541
Y La Ho
8 1 5
direct
0.0812 0.9808 0.7561
0.2247 0.3251 0.2439
0.8278 0.4173 0.2379
0.5827 0.8206 0.4104
0.4102 0.1722 0.5896
0.6749 0.9188 0.8996
0.0192 0.7753 0.1004
0.1794 0.5898 0.7621
0.2500 0.7500 0.5000
0.4656 0.0647 0.1808
0.5000 0.5000 0.0000
0.8839 0.2848 0.8192
0.7152 0.5344 0.5991
0.9353 0.1161 0.4009
```

Calculated values
- Size of the total moment: 0.0 μB/cell
- Energy relative to the elements: 331 kJ/mol of formula units



No. 12
The following is a PBE calculation of crystalline Zr2CrRu at its relaxed geometry, from Alexandria.

Structure (POSCAR):
```
Zr2CrRu
1.0
2.9729 0.0000 0.0000
0.0000 2.9729 0.0000
0.0000 0.0000 8.1196
Zr Ru Cr
2 1 1
direct
0.5000 0.5000 0.3002
0.0000 0.0000 0.9567
0.5000 0.5000 0.7033
0.0000 0.0000 0.5398
```

Calculated values
- Size of the total moment: 0.0 μB/cell
- Energy relative to the elements: -4 kJ/mol of formula units



No. 13
The following is a PBE calculation of crystalline RbCe2C2N6 at its relaxed geometry, from Alexandria.

Structure (POSCAR):
```
RbCe2C2N6
1.0
6.1875 0.0061 0.0021
3.0932 5.1758 0.1465
-0.0023 -2.7209 5.4865
N Rb Ce C
6 1 2 2
direct
0.9255 0.1496 0.3635
0.0745 0.8504 0.6365
0.0188 0.5893 0.8171
0.9812 0.4107 0.1829
0.6083 0.4110 0.1830
0.3917 0.5890 0.8170
0.5000 0.0000 0.5000
0.1742 0.6515 0.1976
0.8258 0.3485 0.8024
0.1614 0.6767 0.7517
0.8386 0.3233 0.2483
```

Calculated values
- Formation energy without anion corrections: -0.523 eV per atom
- Size of the total moment: 0.0 μB/cell



No. 14
The following is a PBE calculation of crystalline MnCr2Re at its relaxed geometry, from Alexandria.

Structure (POSCAR):
```
MnCr2Re
1.0
4.1257 0.0000 0.0000
2.0629 3.5730 0.0000
2.0629 1.1910 3.3687
Cr Mn Re
2 1 1
direct
0.0000 0.0000 0.0000
0.7500 0.7500 0.7500
0.5000 0.5000 0.5000
0.2500 0.2500 0.2500
```

Calculated values
- Size of the total moment: 1.3 μB/cell
- Energy relative to the elements: 32 kJ/mol of formula units



No. 15
The following is a PBE calculation of crystalline In3GaBr6 at its relaxed geometry, from Alexandria.

Structure (POSCAR):
```
In3GaBr6
1.0
-6.0249 4.4026 -0.6998
-1.5599 -3.3086 -7.3849
-5.9375 -7.9708 4.8253
Br In Ga
12 6 2
direct
0.3921 0.5322 0.7624
0.8018 0.6756 0.9588
0.6732 0.2182 0.9450
0.1982 0.3244 0.0412
0.1732 0.2818 0.4450
0.3268 0.7818 0.0550
0.6982 0.1756 0.5412
0.8268 0.7182 0.5550
0.3018 0.8244 0.4588
0.1079 0.0322 0.7376
0.8921 0.9678 0.2624
0.6079 0.4678 0.2376
0.5320 0.9125 0.7403
0.0000 0.0000 0.5000
0.9680 0.4125 0.7597
0.5000 0.5000 0.0000
0.0320 0.5875 0.2403
0.4680 0.0875 0.2597
0.0000 0.0000 0.0000
0.5000 0.5000 0.5000
```

Calculated values
- Offset from the most stable computed form: 4.48 kJ/mol of atoms
- Formation energy without anion corrections: -0.694 eV per atom
- Size of the total moment: 0.0 μB/cell



No. 16
The following is a PBE calculation of crystalline Pm8Ni2Pt at its relaxed geometry, from Alexandria.

Structure (POSCAR):
```
Pm8Ni2Pt
1.0
-2.8783 2.0060 -3.7912
-0.3663 -6.0101 -2.9019
-5.5970 -0.3111 7.6035
Pm Ni Pt
8 2 1
direct
0.8005 0.6490 0.6009
0.3232 0.9974 0.6464
0.0345 0.7940 0.0690
0.1995 0.3510 0.3991
0.9655 0.2060 0.9310
0.5916 0.4620 0.1833
0.4084 0.5380 0.8167
0.6768 0.0026 0.3536
0.1743 0.7423 0.3486
0.8257 0.2577 0.6514
0.5000 0.0000 0.0000
```

Calculated values
- Offset from the most stable computed form: 0.00 kJ/mol of atoms
- Size of the total moment: 0.0 μB/cell
- Energy relative to the elements: -332 kJ/mol of formula units



No. 17
The following is a PBE calculation of crystalline Na3Ga8Pd3 at its relaxed geometry, from Alexandria.

Structure (POSCAR):
```
Na3Ga8Pd3
1.0
4.2857 0.0000 1.1304
1.3806 7.3706 3.4550
0.1010 -0.0350 8.3065
Pd Na Ga
3 3 8
direct
0.6660 0.6709 0.9970
0.0000 0.5000 0.5000
0.3340 0.3291 0.0030
0.0000 0.0000 0.0000
0.7128 0.2856 0.2888
0.2872 0.7144 0.7112
0.3431 0.0351 0.2788
0.1408 0.5645 0.1540
0.8592 0.4355 0.8460
0.4991 0.3231 0.6788
0.5009 0.6769 0.3212
0.1403 0.1518 0.5676
0.6569 0.9649 0.7212
0.8597 0.8482 0.4324
```

Calculated values
- Offset from the most stable computed form: 0.00 kJ/mol of atoms
- Size of the total moment: 0.0 μB/cell
- Energy relative to the elements: -456 kJ/mol of formula units



No. 18
The following is a PBE calculation of crystalline Al8Ir2Pd at its relaxed geometry, from Alexandria.

Structure (POSCAR):
```
Al8Ir2Pd
1.0
5.0139 -0.1577 -0.1196
-0.1921 6.7648 1.7716
-0.1921 3.5277 6.0379
Al Pd Ir
8 1 2
direct
0.1418 0.7879 0.7879
0.8582 0.2121 0.2121
0.1355 0.4214 0.4214
0.3788 0.3475 0.8407
0.6212 0.6525 0.1593
0.8645 0.5786 0.5786
0.6212 0.1593 0.6525
0.3788 0.8407 0.3475
0.0000 0.0000 0.0000
0.3640 0.2590 0.2590
0.6360 0.7410 0.7410
```

Calculated values
- Offset from the most stable computed form: 6.13 kJ/mol of atoms
- Size of the total moment: 0.0 μB/cell
- Energy relative to the elements: -539 kJ/mol of formula units



No. 19
The following is a PBE calculation of crystalline LiPrSm2 at its relaxed geometry, from Alexandria.

Structure (POSCAR):
```
LiPrSm2
1.0
3.7270 0.0000 0.0000
0.0000 5.8059 0.0000
0.0000 0.0000 5.8059
Li Sm Pr
1 2 1
direct
0.5000 0.0000 0.0000
0.0000 0.0000 0.5000
0.0000 0.5000 0.0000
0.5000 0.5000 0.5000
```

Calculated values
- Offset from the most stable computed form: 7.41 kJ/mol of atoms
- Size of the total moment: 0.0 μB/cell
- Energy relative to the elements: 57 kJ/mol of formula units



No. 20
The following is a PBE calculation of crystalline Pm5Nd3Rh2 at its relaxed geometry, from Alexandria.

Structure (POSCAR):
```
Pm5Nd3Rh2
1.0
8.0631 0.0000 0.0000
4.0316 9.2805 0.3953
4.0316 2.8440 8.8429
Pm Rh Nd
10 4 6
direct
0.5089 0.7411 0.7411
0.7500 0.5000 0.5000
0.1191 0.6171 0.1447
0.4911 0.2589 0.2589
0.8809 0.3829 0.8553
0.6191 0.1447 0.6171
0.2500 0.5000 0.5000
0.0089 0.7411 0.7411
0.3809 0.8553 0.3829
0.9911 0.2589 0.2589
0.3657 0.1330 0.1357
0.8657 0.1357 0.1330
0.6343 0.8670 0.8643
0.1343 0.8643 0.8670
0.7500 0.0000 0.0000
0.2500 0.0000 0.0000
0.8705 0.8652 0.3938
0.6295 0.6062 0.1348
0.3705 0.3938 0.8652
0.1295 0.1348 0.6062
```

Calculated values
- Size of the total moment: 0.0 μB/cell
- Energy relative to the elements: -215 kJ/mol of formula units



No. 21
The following is a PBE calculation of crystalline Tb3Nd4Hg at its relaxed geometry, from Alexandria.

Structure (POSCAR):
```
Tb3Nd4Hg
1.0
3.6681 0.0000 0.0000
0.0000 3.6681 0.0000
0.0000 0.0000 19.2747
Nd Tb Hg
4 3 1
direct
0.0000 0.0000 0.8928
0.0000 0.0000 0.6302
0.0000 0.0000 0.3698
0.0000 0.0000 0.1072
0.5000 0.5000 0.5000
0.5000 0.5000 0.2390
0.5000 0.5000 0.7610
0.5000 0.5000 0.0000
```

Calculated values
- Size of the total moment: 0.0 μB/cell
- Energy relative to the elements: -77 kJ/mol of formula units



No. 22
The following is a PBE calculation of crystalline Pm2RuO at its relaxed geometry, from Alexandria.

Structure (POSCAR):
```
Pm2RuO
1.0
4.1926 0.0000 0.0000
2.0963 3.6309 0.0000
2.0963 1.2103 7.4645
Ru O Pm
1 1 2
direct
0.5000 0.5000 0.5000
0.0000 0.0000 0.0000
0.9053 0.9053 0.2841
0.0947 0.0947 0.7159
```

Calculated values
- Offset from the most stable computed form: 20.69 kJ/mol of atoms
- Formation energy without anion corrections: -0.873 eV per atom
- Size of the total moment: 0.3 μB/cell



No. 23
The following is a PBE calculation of crystalline DyYAlTl at its relaxed geometry, from Alexandria.

Structure (POSCAR):
```
DyYAlTl
1.0
-1.6885 -4.7331 -1.5154
3.3073 -3.3443 -2.3297
1.6099 -4.2993 2.5444
Dy Tl Y Al
1 1 1 1
direct
0.7500 0.7500 0.7500
0.0000 0.0000 0.0000
0.2500 0.2500 0.2500
0.5000 0.5000 0.5000
```

Calculated values
- Offset from the most stable computed form: 2.31 kJ/mol of atoms
- Size of the total moment: 0.0 μB/cell
- Energy relative to the elements: -135 kJ/mol of formula units



No. 24
The following is a PBE calculation of crystalline CdSbPdRh at its relaxed geometry, from Alexandria.

Structure (POSCAR):
```
CdSbPdRh
1.0
4.6403 0.0000 0.0000
2.3201 4.0186 0.0000
2.3201 1.3395 3.7888
Pd Cd Rh Sb
1 1 1 1
direct
0.0000 0.0000 0.0000
0.7500 0.7500 0.7500
0.5000 0.5000 0.5000
0.2500 0.2500 0.2500
```

Calculated values
- Formation energy without anion corrections: -0.274 eV per atom
- Size of the total moment: 0.0 μB/cell